The following is a DFT calculation (GGA-PBE) of an optimized crystal structure of Th2Zn6Ag.

Computed properties:
- space group = P6/mmm (191)
- spin magnetization (μB/cell) = 0.00
- volume (Å³/f.u.) = 182.13
- DFT formation energy (eV per atom) = -0.125
- theoretical density (g cm⁻³) = 8.793
- E (eV per atom) = -2.94

a = 7.963 Å, b = 7.963 Å, c = 3.317 Å
α = 90.00°, β = 90.00°, γ = 120.00°
Element x y z (fractional)
1 Th 0.333 0.667 0.000
2 Th 0.667 0.333 0.000
3 Zn 0.684 0.000 0.500
4 Zn 0.000 0.684 0.500
5 Zn 0.316 0.000 0.500
6 Zn 0.684 0.684 0.500
7 Zn 0.000 0.316 0.500
8 Zn 0.316 0.316 0.500
9 Ag 0.000 0.000 0.000